CsMgVO4: optimized geometry, GGA+U.

Geometry as CIF:
```
data_CsMgVO4
_chemical_formula_sum 'Cs2 Mg2 V2 O8'
_space_group_name_H-M_alt 'P 1'
_space_group_IT_number 1
_space_group_name_Hall 'P 1'
_cell_length_a 5.402
_cell_length_b 5.615
_cell_length_c 9.605
_cell_angle_alpha 90.00
_cell_angle_beta 92.52
_cell_angle_gamma 90.00
loop_
_atom_site_label
_atom_site_type_symbol
_atom_site_fract_x
_atom_site_fract_y
_atom_site_fract_z
Cs1 Cs 0.189 0.250 0.170
Cs2 Cs 0.811 0.750 0.830
Mg1 Mg 0.126 0.750 0.476
Mg2 Mg 0.874 0.250 0.524
V1 V 0.311 0.250 0.700
V2 V 0.689 0.750 0.300
O1 O 0.147 0.010 0.618
O2 O 0.147 0.490 0.618
O3 O 0.268 0.250 0.872
O4 O 0.376 0.750 0.335
O5 O 0.624 0.250 0.665
O6 O 0.732 0.750 0.128
O7 O 0.853 0.510 0.382
O8 O 0.853 0.990 0.382
```

Properties
E ... -90.4 eV for the cell shown
M_tot ... 0.00 Bohr magnetons per cell
Space group ... No. 11